# Al6Ag (PBE, relaxed)
data_Al6Ag
_chemical_formula_sum 'Al12 Ag2'
_symmetry_space_group_name_H-M 'I m -3 m'
_symmetry_Int_Tables_number 229
_symmetry_space_group_name_Hall '-I 4 2 3'
_cell_length_a 7.319
_cell_length_b 7.319
_cell_length_c 7.319
_cell_angle_alpha 90.00
_cell_angle_beta 90.00
_cell_angle_gamma 90.00
loop_
_atom_site_label
_atom_site_type_symbol
_atom_site_fract_x
_atom_site_fract_y
_atom_site_fract_z
_atom_site_occupancy
Al1 Al 0.000 0.250 0.500 1
Ag1 Ag 0.000 0.000 0.000 1
# E_tot, eV/atom: -2.780
# Polymorph energy (0 for the lowest one), kJ/mol of formula units: 570
# ΔH_f (0 K), eV per atom: 0.84

***

# Al5Ag3 (PBE, relaxed)
data_Al5Ag3
_chemical_formula_sum 'Al5 Ag3'
_symmetry_space_group_name_H-M 'P 4 m m'
_symmetry_Int_Tables_number 99
_symmetry_space_group_name_Hall 'P 4 -2'
_cell_length_a 2.916
_cell_length_b 2.916
_cell_length_c 15.833
_cell_angle_alpha 90.00
_cell_angle_beta 90.00
_cell_angle_gamma 90.00
loop_
_atom_site_label
_atom_site_type_symbol
_atom_site_fract_x
_atom_site_fract_y
_atom_site_fract_z
_atom_site_occupancy
Al1 Al 0.000 0.000 0.000 1
Al2 Al 0.000 0.000 0.244 1
Al3 Al 0.500 0.500 0.121 1
Al4 Al 0.500 0.500 0.627 1
Al5 Al 0.500 0.500 0.877 1
Ag1 Ag 0.000 0.000 0.506 1
Ag2 Ag 0.000 0.000 0.751 1
Ag3 Ag 0.500 0.500 0.366 1
# E_tot, eV/atom: -3.423
# Polymorph energy (0 for the lowest one), kJ/mol of formula units: 19
# ΔH_f (0 K), eV per atom: -0.01

***

# Al2Ag3 (PBE, relaxed)
data_Al2Ag3
_chemical_formula_sum 'Al4 Ag6'
_symmetry_space_group_name_H-M 'P 1'
_symmetry_Int_Tables_number 1
_symmetry_space_group_name_Hall 'P 1'
_cell_length_a 4.050
_cell_length_b 5.921
_cell_length_c 7.524
_cell_angle_alpha 101.27
_cell_angle_beta 105.21
_cell_angle_gamma 90.17
loop_
_atom_site_label
_atom_site_type_symbol
_atom_site_fract_x
_atom_site_fract_y
_atom_site_fract_z
_atom_site_occupancy
Al1 Al 0.000 0.000 0.000 1
Al2 Al 0.002 0.505 0.002 1
Al3 Al 0.393 0.205 0.789 1
Al4 Al 0.793 0.889 0.589 1
Ag1 Ag 0.198 0.595 0.396 1
Ag2 Ag 0.201 0.095 0.402 1
Ag3 Ag 0.398 0.721 0.799 1
Ag4 Ag 0.587 0.291 0.173 1
Ag5 Ag 0.600 0.796 0.195 1
Ag6 Ag 0.804 0.394 0.610 1
# E_tot, eV/atom: -3.243
# Polymorph energy (0 for the lowest one), kJ/mol of formula units: 5
# ΔH_f (0 K), eV per atom: -0.03

***

# Al2Ag5 (PBE, relaxed)
data_Al2Ag5
_chemical_formula_sum 'Al2 Ag5'
_symmetry_space_group_name_H-M 'P -1'
_symmetry_Int_Tables_number 2
_symmetry_space_group_name_Hall '-P 1'
_cell_length_a 4.821
_cell_length_b 5.126
_cell_length_c 5.146
_cell_angle_alpha 99.13
_cell_angle_beta 95.90
_cell_angle_gamma 104.76
loop_
_atom_site_label
_atom_site_type_symbol
_atom_site_fract_x
_atom_site_fract_y
_atom_site_fract_z
_atom_site_occupancy
Al1 Al 0.083 0.150 0.287 1
Ag1 Ag 0.206 0.399 0.862 1
Ag2 Ag 0.346 0.710 0.445 1
Ag3 Ag 0.500 0.000 0.000 1
# E_tot, eV/atom: -3.153
# Polymorph energy (0 for the lowest one), kJ/mol of formula units: 1
# ΔH_f (0 K), eV per atom: -0.05

***

# Al3Ag5 (PBE, relaxed)
data_Al3Ag5
_chemical_formula_sum 'Al6 Ag10'
_symmetry_space_group_name_H-M 'I -4 m 2'
_symmetry_Int_Tables_number 119
_symmetry_space_group_name_Hall 'I -4 -2'
_cell_length_a 4.008
_cell_length_b 4.008
_cell_length_c 16.924
_cell_angle_alpha 90.00
_cell_angle_beta 90.00
_cell_angle_gamma 90.00
loop_
_atom_site_label
_atom_site_type_symbol
_atom_site_fract_x
_atom_site_fract_y
_atom_site_fract_z
_atom_site_occupancy
Al1 Al 0.000 0.000 0.000 1
Al2 Al 0.000 0.500 0.128 1
Ag1 Ag 0.000 0.000 0.250 1
Ag2 Ag 0.000 0.000 0.500 1
Ag3 Ag 0.000 0.500 0.620 1
# E_tot, eV/atom: -3.212
# Polymorph energy (0 for the lowest one), kJ/mol of formula units: 18
# ΔH_f (0 K), eV per atom: -0.03

***

# Al5Ag3 (PBE, relaxed)
data_Al5Ag3
_chemical_formula_sum 'Al10 Ag6'
_symmetry_space_group_name_H-M 'C 1 2/m 1'
_symmetry_Int_Tables_number 12
_symmetry_space_group_name_Hall '-C 2y'
_cell_length_a 9.295
_cell_length_b 5.996
_cell_length_c 5.291
_cell_angle_alpha 90.00
_cell_angle_beta 110.43
_cell_angle_gamma 90.00
loop_
_atom_site_label
_atom_site_type_symbol
_atom_site_fract_x
_atom_site_fract_y
_atom_site_fract_z
_atom_site_occupancy
Al1 Al 0.000 0.000 0.000 1
Al2 Al 0.000 0.249 0.500 1
Al3 Al 0.250 0.250 0.000 1
Ag1 Ag 0.000 0.500 0.000 1
Ag2 Ag 0.246 0.000 0.494 1
# E_tot, eV/atom: -3.393
# Polymorph energy (0 for the lowest one), kJ/mol of formula units: 42
# ΔH_f (0 K), eV per atom: 0.02

***

# Al7Ag3 (PBE, relaxed)
data_Al7Ag3
_chemical_formula_sum 'Al7 Ag3'
_symmetry_space_group_name_H-M 'P 1 m 1'
_symmetry_Int_Tables_number 6
_symmetry_space_group_name_Hall 'P -2y'
_cell_length_a 4.094
_cell_length_b 4.091
_cell_length_c 10.254
_cell_angle_alpha 90.00
_cell_angle_beta 100.80
_cell_angle_gamma 90.00
loop_
_atom_site_label
_atom_site_type_symbol
_atom_site_fract_x
_atom_site_fract_y
_atom_site_fract_z
_atom_site_occupancy
Al1 Al 0.000 0.000 0.000 1
Al2 Al 0.091 0.500 0.193 1
Al3 Al 0.188 0.000 0.394 1
Al4 Al 0.296 0.500 0.595 1
Al5 Al 0.496 0.500 0.998 1
Al6 Al 0.592 0.000 0.194 1
Al7 Al 0.900 0.500 0.799 1
Ag1 Ag 0.399 0.000 0.800 1
Ag2 Ag 0.686 0.500 0.392 1
Ag3 Ag 0.800 0.000 0.597 1
# E_tot, eV/atom: -3.467
# Polymorph energy (0 for the lowest one), kJ/mol of formula units: 32
# ΔH_f (0 K), eV per atom: 0.01

***

# Al5Ag (PBE, relaxed)
data_Al5Ag
_chemical_formula_sum 'Al5 Ag1'
_symmetry_space_group_name_H-M 'P 6/m m m'
_symmetry_Int_Tables_number 191
_symmetry_space_group_name_Hall '-P 6 2'
_cell_length_a 5.2076
_cell_length_b 5.2076
_cell_length_c 4.8399
_cell_angle_alpha 90.00
_cell_angle_beta 90.00
_cell_angle_gamma 120.00
loop_
_atom_site_label
_atom_site_type_symbol
_atom_site_fract_x
_atom_site_fract_y
_atom_site_fract_z
_atom_site_occupancy
Al1 Al 0.0000 0.5000 0.0000 1
Al2 Al 0.3333 0.6667 0.5000 1
Ag1 Ag 0.0000 0.0000 0.5000 1
# E_tot, eV/atom: -3.341
# Polymorph energy (0 for the lowest one), kJ/mol of formula units: 152
# ΔH_f (0 K), eV per atom: 0.25

***

# Al3Ag5 (PBE, relaxed)
data_Al3Ag5
_chemical_formula_sum 'Al6 Ag10'
_symmetry_space_group_name_H-M 'C 1 2/m 1'
_symmetry_Int_Tables_number 12
_symmetry_space_group_name_Hall '-C 2y'
_cell_length_a 5.839
_cell_length_b 8.031
_cell_length_c 6.462
_cell_angle_alpha 90.00
_cell_angle_beta 116.01
_cell_angle_gamma 90.00
loop_
_atom_site_label
_atom_site_type_symbol
_atom_site_fract_x
_atom_site_fract_y
_atom_site_fract_z
_atom_site_occupancy
Al1 Al 0.000 0.000 0.000 1
Al2 Al 0.248 0.500 0.497 1
Ag1 Ag 0.000 0.500 0.000 1
Ag2 Ag 0.127 0.250 0.746 1
# E_tot, eV/atom: -3.209
# Polymorph energy (0 for the lowest one), kJ/mol of formula units: 20
# ΔH_f (0 K), eV per atom: -0.02

***

# AlAg (PBE, relaxed)
data_AlAg
_chemical_formula_sum 'Al6 Ag6'
_symmetry_space_group_name_H-M 'R -3 m'
_symmetry_Int_Tables_number 166
_symmetry_space_group_name_Hall '-R 3 2"'
_cell_length_a 2.9632
_cell_length_b 2.9632
_cell_length_c 26.9922
_cell_angle_alpha 90.00
_cell_angle_beta 90.00
_cell_angle_gamma 120.00
loop_
_atom_site_label
_atom_site_type_symbol
_atom_site_fract_x
_atom_site_fract_y
_atom_site_fract_z
_atom_site_occupancy
Al1 Al 0.0000 0.0000 0.1251 1
Ag1 Ag 0.0000 0.0000 0.3780 1
# E_tot, eV/atom: -3.340
# ΔH_f (0 K), eV per atom: -0.04

***

Which formula does entry 4 have?
Al2Ag5

***

Among the records above, which one has the highest ΔH_f (0 K)?
Al6Ag